1.
Here is Ti4In2H after structural relaxation from the Alexandria database. Energies are from GGA-PBE.

Properties
Magnetic moment in μB per formula unit: 1.79
Calculated density in g cm⁻³: 5.9
Calculated total energy in eV per cell: -82.1

Cell lengths 4.0011, 4.0011, 14.7648 Å; angles 90.00, 90.00, 90.00 degrees
Last column: nearest neighbours and their distance in Å.
Space group I4/mmm (No. 139)
Symmetry-distinct sites (fractional):
Ti: 0.0000 0.0000 0.1636 [4 per cell]  1 H 2.42
Ti: 0.0000 0.5000 0.0000 [4 per cell]  2 H 2.00
In: 0.0000 0.0000 0.3558 [4 per cell]  9 Ti 2.84-2.92
H: 0.0000 0.0000 0.0000 [2 per cell]  4 Ti 2.00


2.
Here is Ti3InH after structural relaxation from the Alexandria database. Energies are from GGA-PBE.

Properties
Magnetic moment in μB per formula unit: 0.00
Calculated density in g cm⁻³: 5.8
Calculated total energy in eV per cell: -61.8

Cell lengths 4.8320, 6.4061, 4.8410 Å; angles 90.00, 99.00, 90.00 degrees
Last column: nearest neighbours and their distance in Å.
Space group P2 (No. 3)
Symmetry-distinct sites (fractional):
Ti: 0.2471 0.0000 0.2450 [2 per cell]  1 H 1.93
Ti: 0.2471 0.4785 0.2453 [2 per cell]  1 H 2.14
Ti: 0.2523 0.2400 0.7273 [2 per cell]  2 H 1.88-1.93
In: 0.2501 0.7355 0.7448 [2 per cell]  1 H 2.81, 8 Ti 2.92-2.96, 1 In 3.11
H: 0.0000 0.2479 0.0000 [1 per cell]  4 Ti 1.93-2.14
H: 0.5000 0.0967 0.0000 [1 per cell]  4 Ti 1.88-1.93


3.
Here is Ti3InH after structural relaxation from the Alexandria database. Energies are from GGA-PBE.

Properties
Magnetic moment in μB per formula unit: 0.00
Calculated density in g cm⁻³: 3.7
Calculated total energy in eV per cell: -76.4

Cell lengths 5.1728, 5.1728, 15.1336 Å; angles 90.00, 90.00, 120.00 degrees
Last column: nearest neighbours and their distance in Å.
Space group R3m (No. 160, hexagonal axes)
Symmetry-distinct sites (fractional):
Ti: 0.0067 0.5033 0.0000 [9 per cell]  1 H 1.96
In: 0.0000 0.0000 0.5013 [3 per cell]  6 Ti 2.93, 3 H 3.22
H: 0.0000 0.0000 0.2472 [3 per cell]  3 Ti 1.96


4.
Here is Ti3InH after structural relaxation from the Alexandria database. Energies are from GGA-PBE.

Properties
Magnetic moment in μB per formula unit: 0.00
Calculated density in g cm⁻³: 5.6
Calculated total energy in eV per cell: -118.7

Cell lengths 5.4427, 7.3544, 7.6607 Å; angles 90.00, 90.00, 90.00 degrees
Last column: nearest neighbours and their distance in Å.
Space group Pnma (No. 62)
Symmetry-distinct sites (fractional):
Ti: 0.9999 0.0980 0.1353 [8 per cell]  1 H 1.93
Ti: 0.2489 0.2500 0.7508 [4 per cell]  2 H 1.93-1.94
In: 0.0000 0.0000 0.5000 [4 per cell]  10 Ti 2.89-3.00
H: 0.0019 0.7500 0.0704 [4 per cell]  4 Ti 1.93-1.94


5.
Here is Ti3InH after structural relaxation from the Alexandria database. Energies are from GGA-PBE.

Properties
Magnetic moment in μB per formula unit: 0.00
Calculated density in g cm⁻³: 5.5
Calculated total energy in eV per cell: -118.9

Cell lengths 5.5892, 5.5892, 10.0540 Å; angles 90.00, 90.00, 90.00 degrees
Last column: nearest neighbours and their distance in Å.
Space group I-4m2 (No. 119)
Symmetry-distinct sites (fractional):
Ti: 0.0000 0.0000 0.1293 [4 per cell]  3 Ti 2.60-2.74, 2 In 2.80
Ti: 0.0000 0.2502 0.6358 [8 per cell]  2 H 1.81-1.95
In: 0.0000 0.5000 0.1101 [4 per cell]  8 Ti 2.80-3.14, 1 In 2.81, 2 H 3.01
H: 0.0000 0.0000 0.5000 [2 per cell]  4 Ti 1.95
H: 0.0000 0.5000 0.7500 [2 per cell]  4 Ti 1.81


6.
Here is TiInH after structural relaxation from the Alexandria database. Energies are from GGA-PBE.

Properties
Magnetic moment in μB per formula unit: 0.00
Calculated density in g cm⁻³: 6.4
Calculated total energy in eV per cell: -59.1

Cell lengths 3.1546, 5.5370, 9.6646 Å; angles 90.00, 90.00, 90.00 degrees
Last column: nearest neighbours and their distance in Å.
Space group Cmcm (No. 63)
Symmetry-distinct sites (fractional):
Ti: 0.0000 0.1662 0.2500 [4 per cell]  3 H 1.83-1.84
In: 0.0000 0.5000 0.0000 [4 per cell]  6 H 3.03-3.04, 6 Ti 3.03-3.04, 6 In 3.15-3.19
H: 0.0000 0.1655 0.7500 [4 per cell]  3 Ti 1.83-1.84


7.
Here is Ti3InH3 after structural relaxation from the Alexandria database. Energies are from GGA-PBE.

Properties
Magnetic moment in μB per formula unit: 0.69
Calculated density in g cm⁻³: 5.6
Calculated total energy in eV per cell: -78.5

Cell lengths 5.3883, 5.3883, 5.3883 Å; angles 90.00, 90.00, 90.00 degrees
Last column: nearest neighbours and their distance in Å.
Space group Pm-3n (No. 223)
Symmetry-distinct sites (fractional):
Ti: 0.0000 0.2500 0.5000 [6 per cell]  4 H 1.91
In: 0.0000 0.0000 0.0000 [2 per cell]  12 H 3.01, 12 Ti 3.01
H: 0.0000 0.5000 0.2500 [6 per cell]  4 Ti 1.91


8.
Here is Ti3InH after structural relaxation from the Alexandria database. Energies are from GGA-PBE.

Properties
Magnetic moment in μB per formula unit: 0.00
Calculated density in g cm⁻³: 5.8
Calculated total energy in eV per cell: -61.8

Cell lengths 5.3688, 4.7959, 5.8246 Å; angles 90.00, 96.17, 90.00 degrees
Last column: nearest neighbours and their distance in Å.
Space group P2_1 (No. 4)
Symmetry-distinct sites (fractional):
Ti: 0.1386 0.9997 0.2474 [2 per cell]  1 H 1.85
Ti: 0.3394 0.5000 0.0410 [2 per cell]  1 H 1.93
Ti: 0.3545 0.5094 0.5462 [2 per cell]  2 H 1.90-1.92
In: 0.1545 0.0053 0.7511 [2 per cell]  1 H 2.74, 10 Ti 2.85-3.06
H: 0.3972 0.2551 0.3045 [2 per cell]  4 Ti 1.85-1.93


- What is the calculated density in the eighth record?
  5.8 g cm⁻³